[1]
LiAlMo2 (GGA-PBE, relaxed); calculated formation energy = 0.75 eV per formula unit; raw total energy = -6.641 eV/atom; SG = R3m; calculated volume = 191.8 Å³/cell
1.0
2.7869 0.0000 0.0000
-1.3934 2.4135 0.0000
0.0000 0.0000 28.5150
Li Al Mo
3 3 6
direct
0.0000 0.0000 0.0000
0.3333 0.6667 0.6667
0.6667 0.3333 0.3333
0.0000 0.0000 0.7516
0.3333 0.6667 0.4183
0.6667 0.3333 0.0850
0.0000 0.0000 0.2477
0.0000 0.0000 0.4973
0.3333 0.6667 0.1639
0.3333 0.6667 0.9144
0.6667 0.3333 0.5811
0.6667 0.3333 0.8306

---

[2]
LiAlMo2 (GGA-PBE, relaxed); calculated formation energy = 0.57 eV per formula unit; raw total energy = -6.687 eV/atom; SG = Cmmm; calculated volume = 123.7 Å³/cell
1.0
3.3964 0.0000 0.0000
0.0000 4.0578 0.0000
0.0000 0.0000 8.9764
Li Al Mo
2 2 4
direct
0.0000 0.0000 0.0000
0.5000 0.5000 0.0000
0.0000 0.0000 0.5000
0.5000 0.5000 0.5000
0.0000 0.5000 0.2636
0.0000 0.5000 0.7364
0.5000 0.0000 0.2636
0.5000 0.0000 0.7364

---

[3]
LiAlMo3 (GGA-PBE, relaxed); calculated formation energy = 5.54 eV per formula unit; raw total energy = -6.522 eV/atom; SG = Pm-3m; calculated volume = 76.2 Å³/cell
1.0
4.2392 0.0000 0.0000
0.0000 4.2392 0.0000
0.0000 0.0000 4.2392
Li Al Mo
1 1 3
direct
0.0000 0.0000 0.0000
0.5000 0.5000 0.5000
0.0000 0.0000 0.5000
0.0000 0.5000 0.0000
0.5000 0.0000 0.0000

---

[4]
LiAlMo2 (GGA-PBE, relaxed); calculated formation energy = 0.66 eV per formula unit; raw total energy = -6.663 eV/atom; SG = P4/mmm; calculated volume = 61.9 Å³/cell
1.0
2.6609 0.0000 0.0000
0.0000 2.6609 0.0000
0.0000 0.0000 8.7397
Li Al Mo
1 1 2
direct
0.0000 0.0000 0.0000
0.0000 0.0000 0.5000
0.5000 0.5000 0.2650
0.5000 0.5000 0.7350

---

[5]
LiAlMo2 (GGA-PBE, relaxed); calculated formation energy = 0.69 eV per formula unit; raw total energy = -6.657 eV/atom; SG = Pmm2; calculated volume = 61.9 Å³/cell
1.0
2.6260 0.0000 0.0000
0.0000 4.1759 0.0000
0.0000 0.0000 5.6474
Li Al Mo
1 1 2
direct
0.0000 0.0000 0.0000
0.5000 0.5000 0.7702
0.0000 0.0000 0.5073
0.5000 0.5000 0.2719

---

[6]
LiAl2Mo2 (GGA-PBE, relaxed); calculated formation energy = 0.81 eV per formula unit; raw total energy = -6.050 eV/atom; SG = P4/mbm; calculated volume = 156.1 Å³/cell
1.0
6.7316 0.0000 0.0000
0.0000 6.7316 0.0000
0.0000 0.0000 3.4440
Li Al Mo
2 4 4
direct
0.0000 0.0000 0.0000
0.5000 0.5000 0.0000
0.1342 0.3658 0.0000
0.3658 0.8658 0.0000
0.6342 0.1342 0.0000
0.8658 0.6342 0.0000
0.1639 0.6639 0.5000
0.3361 0.1639 0.5000
0.6639 0.8361 0.5000
0.8361 0.3361 0.5000

---

> Among the records above, which one has the highest calculated volume?

number 1

---

> The highest calculated formation energy belongs to which entry?

LiAlMo3

---

> Which of these has the lowest calculated formation energy?

number 2

---

What did the second record say?
LiAlMo2 (GGA-PBE, relaxed); calculated formation energy = 0.57 eV per formula unit; raw total energy = -6.687 eV/atom; SG = Cmmm; calculated volume = 123.7 Å³/cell
1.0
3.3964 0.0000 0.0000
0.0000 4.0578 0.0000
0.0000 0.0000 8.9764
Li Al Mo
2 2 4
direct
0.0000 0.0000 0.0000
0.5000 0.5000 0.0000
0.0000 0.0000 0.5000
0.5000 0.5000 0.5000
0.0000 0.5000 0.2636
0.0000 0.5000 0.7364
0.5000 0.0000 0.2636
0.5000 0.0000 0.7364